K2VBiO4: optimized geometry, PBE+U.

a b c (Å): 5.8854 5.8854 5.8854
angles (deg): 107.31 110.56 110.56
Fractional coordinates of all 8 atoms:
K 0.5000 0.7500 0.2500
K 0.0000 0.0000 0.0000
V 0.0000 0.5000 0.5000
Bi 0.5000 0.2500 0.7500
O 0.7049 0.4830 0.5251
O 0.0421 0.2219 0.5170
O 0.9579 0.4749 0.1798
O 0.2951 0.8202 0.7781

Total moment, μB/atom: 0.000
D(E_F), states/eV/f.u.: 0.0
Theoretical density, Mg/m³: 4.26
SG: I-4, No. 82
Calculated total energy, eV per cell: -45.63

KVBiWO6: optimized geometry, PBE+U.

a b c (Å): 5.6763 5.6763 5.6763
angles (deg): 60.00 60.00 60.00
Last column: magnetic moment on the atom in μB.
Fractional coordinates of all 10 atoms:
K 0.7500 0.7500 0.7500  0.00
V 0.0000 0.0000 0.0000  2.22
Bi 0.2500 0.2500 0.2500  -0.03
W 0.5000 0.5000 0.5000  0.24
O 0.2565 0.7435 0.2565  -0.02
O 0.7435 0.2565 0.7435  -0.02
O 0.2565 0.7435 0.7435  -0.02
O 0.7435 0.2565 0.2565  -0.02
O 0.2565 0.2565 0.7435  -0.02
O 0.7435 0.7435 0.2565  -0.02

Total moment, μB/atom: 0.250
D(E_F), states/eV/f.u.: 4.5
Theoretical density, Mg/m³: 7.43
SG: F-43m, No. 216
Calculated total energy, eV per cell: -66.30

K2BiW3O12: optimized geometry, PBE+U.

a b c (Å): 7.5958 7.5958 7.5958
angles (deg): 59.10 59.10 59.10
Fractional coordinates of all 18 atoms:
K 0.6486 0.6486 0.6486
K 0.3514 0.3514 0.3514
Bi 0.0000 0.0000 0.0000
W 0.5000 0.0000 0.0000
W 0.0000 0.5000 0.0000
W 0.0000 0.0000 0.5000
O 0.2996 0.2996 0.9349
O 0.9184 0.9184 0.3580
O 0.3580 0.9184 0.9184
O 0.9349 0.2996 0.2996
O 0.9184 0.3580 0.9184
O 0.2996 0.9349 0.2996
O 0.7004 0.7004 0.0651
O 0.0816 0.0816 0.6420
O 0.6420 0.0816 0.0816
O 0.0651 0.7004 0.7004
O 0.0816 0.6420 0.0816
O 0.7004 0.0651 0.7004

Total moment, μB/atom: 0.000
D(E_F), states/eV/f.u.: 5.4
Theoretical density, Mg/m³: 5.64
SG: R-3m, No. 166
Calculated total energy, eV per cell: -120.77

KBiW2O8: optimized geometry, PBE+U.

a b c (Å): 7.8374 7.8374 7.5299
angles (deg): 62.12 62.12 88.79
Fractional coordinates of all 24 atoms:
K 0.7173 0.2827 0.2500
K 0.2827 0.7173 0.7500
Bi 0.7193 0.2807 0.7500
Bi 0.2807 0.7193 0.2500
W 0.1900 0.1981 0.7917
W 0.1981 0.1900 0.2917
W 0.8019 0.8100 0.7083
W 0.8100 0.8019 0.2083
O 0.4572 0.2579 0.6907
O 0.7421 0.5428 0.8093
O 0.5428 0.7421 0.3093
O 0.2579 0.4572 0.1907
O 0.1486 0.4443 0.6320
O 0.5557 0.8514 0.8680
O 0.8514 0.5557 0.3680
O 0.4443 0.1486 0.1320
O 0.1322 0.2418 0.0594
O 0.7582 0.8678 0.4406
O 0.8678 0.7582 0.9406
O 0.2418 0.1322 0.5594
O 0.0961 0.8789 0.4689
O 0.1211 0.9039 0.0311
O 0.9039 0.1211 0.5311
O 0.8789 0.0961 0.9689

Total moment, μB/atom: 0.000
D(E_F), states/eV/f.u.: 0.0
Theoretical density, Mg/m³: 7.06
SG: C2/c, No. 15
Energy relative to the lowest polymorph listed for this composition, kcal/mol of atoms: 0.00

KBi2WO6: optimized geometry, PBE+U.

a b c (Å): 6.2525 6.2516 6.1824
angles (deg): 89.99 120.37 120.01
Last column: magnetic moment on the atom in μB.
Fractional coordinates of all 10 atoms:
K 0.0085 0.5038 0.4981  0.01
Bi 0.5906 0.7948 0.3713  0.01
Bi 0.5167 0.2578 0.7606  0.56
W 0.0136 0.0063 0.0058  0.02
O 0.5866 0.9311 0.7121  0.01
O 0.3887 0.0561 0.1768  0.03
O 0.8592 0.8021 0.1768  0.03
O 0.1349 0.3317 0.1768  0.03
O 0.7951 0.6544 0.7121  0.01
O 0.0718 0.1397 0.7121  0.01

Total moment, μB/atom: 0.100
Theoretical density, Mg/m³: 7.20
SG: R3, No. 146
Calculated total energy, eV per cell: -60.78

KBiW2O8: optimized geometry, PBE+U.

a b c (Å): 5.5821 5.5821 9.3961
angles (deg): 72.72 72.72 60.00
Fractional coordinates of all 12 atoms:
K 0.0000 0.0000 0.0000
Bi 0.5000 0.5000 0.5000
W 0.7544 0.7544 0.7369
W 0.2456 0.2456 0.2631
O 0.6871 0.6871 0.9387
O 0.3129 0.3129 0.0613
O 0.5186 0.2508 0.3304
O 0.7492 0.4814 0.6696
O 0.0998 0.7492 0.6696
O 0.2508 0.9002 0.3304
O 0.9002 0.5186 0.3304
O 0.4814 0.0998 0.6696

Total moment, μB/atom: 0.000
D(E_F), states/eV/f.u.: 0.0
Theoretical density, Mg/m³: 5.19
SG: R32, No. 155
Energy relative to the lowest polymorph listed for this composition, kcal/mol of atoms: 2.92